# 1
Entry from Alexandria: an optimized crystal structure of Er2Ni2Pb (GGA-PBE).

Values from the calculation:
**Magnetic moment**: 0.00 μB per cell
**Energy**: -5.221 eV per atom

Unit cell a=4.761 b=4.761 c=5.735 alpha=65.48 beta=65.48 gamma=60.00
Fractional positions:
Er (0.274, 0.274, 0.179)
Er (0.726, 0.726, 0.821)
Ni (0.081, 0.081, 0.756)
Ni (0.919, 0.919, 0.244)
Pb (0.500, 0.500, 0.500)



# 2
Entry from Alexandria: an optimized crystal structure of PmErNiPb (GGA-PBE).

Values from the calculation:
**Magnetic moment**: 0.00 μB per cell
**Energy**: -4.982 eV per atom

Unit cell a=5.202 b=5.202 c=5.202 alpha=60.00 beta=60.00 gamma=60.00
Fractional positions:
Pm (0.000, 0.000, 0.000)
Ni (0.250, 0.250, 0.250)
Er (0.500, 0.500, 0.500)
Pb (0.750, 0.750, 0.750)



# 3
Entry from Alexandria: an optimized crystal structure of ErNiRhPb (GGA-PBE).

Values from the calculation:
**Magnetic moment**: 0.00 μB per cell
**Energy**: -5.749 eV per atom

Unit cell a=4.703 b=4.703 c=4.703 alpha=60.00 beta=60.00 gamma=60.00
Fractional positions:
Pb (0.500, 0.500, 0.500)
Er (0.000, 0.000, 0.000)
Ni (0.250, 0.250, 0.250)
Rh (0.750, 0.750, 0.750)



# 4
Entry from Alexandria: an optimized crystal structure of ErZnNiPb (GGA-PBE).

Values from the calculation:
**Magnetic moment**: 0.00 μB per cell
**Energy**: -4.019 eV per atom

Unit cell a=4.793 b=4.793 c=4.793 alpha=60.00 beta=60.00 gamma=60.00
Fractional positions:
Er (0.000, 0.000, 0.000)
Zn (0.750, 0.750, 0.750)
Pb (0.500, 0.500, 0.500)
Ni (0.250, 0.250, 0.250)